# GGA+U NbTlCrO6, relaxed
# calculated total energy	-63.53	eV for the cell shown
data_NbTlCrO6
_chemical_formula_sum 'Nb1 Tl1 Cr1 O6'
_symmetry_space_group_name_H-M 'P 3'
_symmetry_Int_Tables_number 143
_cell_length_a 5.2248
_cell_length_b 5.2248
_cell_length_c 5.9084
_cell_angle_alpha 90.00
_cell_angle_beta 90.00
_cell_angle_gamma 120.00
loop_
_symmetry_equiv_pos_as_xyz
'x,y,z'
'-y,x-y,z'
'-x+y,-x,z'
loop_
_atom_site_label
_atom_site_type_symbol
_atom_site_fract_x
_atom_site_fract_y
_atom_site_fract_z
Nb1 Nb 0.0000 0.0000 0.0000
Tl1 Tl 0.3333 0.6667 0.5660
Cr1 Cr 0.6667 0.3333 0.1041
O1 O 0.3514 0.2756 0.2388
O2 O 0.3573 0.0630 0.8694